--- A ---
First-principles (PBE-GGA) data for an optimized crystal structure of Cd2BiCl, as listed in the Alexandria database.

SG: P2/c
Total magnetization (μB/f.u.): 0.00

abc: 6.0976 6.0983 12.0451
angles: 90.05 90.00 90.00
Positions (direct):
Cd1 0.7463 0.0003 0.8695
Cd2 0.2537 0.9997 0.1305
Cd3 0.7463 0.4997 0.6305
Cd4 0.2537 0.5003 0.3695
Cd5 0.7508 0.5005 0.1198
Cd6 0.2492 0.4995 0.8802
Cd7 0.7508 0.9995 0.3802
Cd8 0.2492 0.0005 0.6198
Bi1 0.2470 0.5004 0.6249
Bi2 0.7530 0.4996 0.3751
Bi3 0.2470 0.9996 0.8751
Bi4 0.7530 0.0004 0.1249
Cl1 0.2518 0.9997 0.3752
Cl2 0.7482 0.0003 0.6248
Cl3 0.2518 0.5003 0.1248
Cl4 0.7482 0.4997 0.8752

---

--- B ---
First-principles (PBE-GGA) data for an optimized crystal structure of Cd2BiCl, as listed in the Alexandria database.

SG: Fm-3m
Total magnetization (μB/f.u.): 0.00

abc: 5.2595 5.2595 5.2595
angles: 60.00 60.00 60.00
Positions (direct):
Cl1 0.0000 0.0000 0.0000
Bi1 0.5000 0.5000 0.5000
Cd1 0.2500 0.2500 0.2500
Cd2 0.7500 0.7500 0.7500

---

A ends up most stable, edging out the next structure by 0.184 eV/atom.

---

--- A ---
First-principles (PBE-GGA) data for an optimized crystal structure of CdBi2Cl, as listed in the Alexandria database.

SG: I-42d
Total magnetization (μB/f.u.): 0.00

abc: 4.6293 4.6293 11.9852
angles: 78.86 78.86 90.00
Positions (direct):
Cl1 0.5000 0.5000 0.0000
Cl2 0.2500 0.7500 0.5000
Bi1 0.6623 0.1250 0.2500
Bi2 0.0877 0.6250 0.2500
Bi3 0.3750 0.3377 0.7500
Bi4 0.8750 0.9123 0.7500
Cd1 0.0000 0.0000 0.0000
Cd2 0.7500 0.2500 0.5000

---

--- B ---
First-principles (PBE-GGA) data for an optimized crystal structure of CdBi2Cl, as listed in the Alexandria database.

SG: Fm-3m
Total magnetization (μB/f.u.): 0.00

abc: 5.3155 5.3155 5.3155
angles: 60.00 60.00 60.00
Positions (direct):
Cl1 0.0000 0.0000 0.0000
Bi1 0.2500 0.2500 0.2500
Bi2 0.7500 0.7500 0.7500
Cd1 0.5000 0.5000 0.5000

---

A ends up most stable, edging out the next structure by 0.058 eV/atom.

---

--- A ---
First-principles (PBE-GGA) data for an optimized crystal structure of Cd3BiCl, as listed in the Alexandria database.

SG: Pm-3m
Total magnetization (μB/f.u.): 0.00

abc: 5.8511 5.8511 5.8511
angles: 90.00 90.00 90.00
Positions (direct):
Cl1 0.5000 0.5000 0.5000
Bi1 0.0000 0.0000 0.0000
Cd1 0.0000 0.5000 0.0000
Cd2 0.0000 0.0000 0.5000
Cd3 0.5000 0.0000 0.0000

---

--- B ---
First-principles (PBE-GGA) data for an optimized crystal structure of Cd3BiCl, as listed in the Alexandria database.

SG: Pm-3m
Total magnetization (μB/f.u.): 0.00

abc: 5.3475 5.3475 5.3475
angles: 90.00 90.00 90.00
Positions (direct):
Cl1 0.0000 0.0000 0.0000
Bi1 0.5000 0.5000 0.5000
Cd1 0.0000 0.5000 0.0000
Cd2 0.0000 0.0000 0.5000
Cd3 0.5000 0.0000 0.0000

---

A ends up most stable, edging out the next structure by 0.249 eV/atom.

---

--- A ---
First-principles (PBE-GGA) data for an optimized crystal structure of CdBi3Cl, as listed in the Alexandria database.

SG: Pm-3m
Total magnetization (μB/f.u.): 0.00

abc: 5.7056 5.7056 5.7056
angles: 90.00 90.00 90.00
Positions (direct):
Cl1 0.5000 0.5000 0.5000
Bi1 0.0000 0.5000 0.0000
Bi2 0.0000 0.0000 0.5000
Bi3 0.5000 0.0000 0.0000
Cd1 0.0000 0.0000 0.0000

---

--- B ---
First-principles (PBE-GGA) data for an optimized crystal structure of CdBi3Cl, as listed in the Alexandria database.

SG: Pm-3m
Total magnetization (μB/f.u.): 0.00

abc: 5.5767 5.5767 5.5767
angles: 90.00 90.00 90.00
Positions (direct):
Cl1 0.0000 0.0000 0.0000
Bi1 0.0000 0.5000 0.0000
Bi2 0.0000 0.0000 0.5000
Bi3 0.5000 0.0000 0.0000
Cd1 0.5000 0.5000 0.5000

---

A ends up most stable, edging out the next structure by 0.086 eV/atom.

---

--- A ---
First-principles (PBE-GGA) data for an optimized crystal structure of CdBiPCl2, as listed in the Alexandria database.

SG: P4/mmm
Total magnetization (μB/f.u.): 0.00

abc: 5.3309 5.3309 5.5786
angles: 90.00 90.00 90.00
Positions (direct):
P1 0.0000 0.0000 0.5000
Cl1 0.0000 0.5000 0.0000
Cl2 0.5000 0.0000 0.0000
Bi1 0.0000 0.0000 0.0000
Cd1 0.5000 0.5000 0.5000

---

--- B ---
First-principles (PBE-GGA) data for an optimized crystal structure of CdBiPCl2, as listed in the Alexandria database.

SG: P4/mmm
Total magnetization (μB/f.u.): 0.00

abc: 4.9766 4.9766 5.3859
angles: 90.00 90.00 90.00
Positions (direct):
P1 0.0000 0.0000 0.5000
Cl1 0.0000 0.5000 0.0000
Cl2 0.5000 0.0000 0.0000
Bi1 0.5000 0.5000 0.5000
Cd1 0.0000 0.0000 0.0000

---

A ends up most stable, edging out the next structure by 0.060 eV/atom.

---

--- A ---
First-principles (PBE-GGA) data for an optimized crystal structure of Cs2CdBi2, as listed in the Alexandria database.

SG: C2/m
Total magnetization (μB/f.u.): 0.33

abc: 7.7477 10.9077 9.7554
angles: 44.11 66.60 69.20
Each line ends with the local moment (μB).
Positions (direct):
Cs1 0.6736 0.3053 0.3475  0.01
Cs2 0.3264 0.6947 0.6525  0.01
Cs3 0.0689 0.7272 0.1350  0.00
Cs4 0.9311 0.2728 0.8650  0.00
Cd1 0.3145 0.1900 0.1810  0.00
Cd2 0.6855 0.8100 0.8190  0.00
Bi1 0.1607 0.1788 0.4998  0.21
Bi2 0.8393 0.8212 0.5002  0.21
Bi3 0.4742 0.1964 0.8551  -0.02
Bi4 0.5258 0.8036 0.1449  -0.02

---

--- B ---
First-principles (PBE-GGA) data for an optimized crystal structure of Cs2CdBi2, as listed in the Alexandria database.

SG: P4/mbm
Total magnetization (μB/f.u.): 0.00

abc: 12.1899 12.1899 3.4250
angles: 90.00 90.00 90.00
Positions (direct):
Cs1 0.8637 0.3637 0.0000
Cs2 0.6363 0.8637 0.0000
Cs3 0.1363 0.6363 0.0000
Cs4 0.3637 0.1363 0.0000
Cd1 0.0000 0.0000 0.0000
Cd2 0.5000 0.5000 0.0000
Bi1 0.6612 0.1612 0.5000
Bi2 0.8388 0.6612 0.5000
Bi3 0.3388 0.8388 0.5000
Bi4 0.1612 0.3388 0.5000

---

--- C ---
First-principles (PBE-GGA) data for an optimized crystal structure of Cs2CdBi2, as listed in the Alexandria database.

SG: I4/mmm
Total magnetization (μB/f.u.): 0.00

abc: 7.1136 7.1136 7.1136
angles: 113.39 113.39 101.89
Positions (direct):
Cs1 0.7500 0.2500 0.5000
Cs2 0.2500 0.7500 0.5000
Cd1 0.0000 0.0000 0.0000
Bi1 0.6698 0.6698 0.0000
Bi2 0.3302 0.3302 0.0000

---

--- D ---
First-principles (PBE-GGA) data for an optimized crystal structure of Cs2CdBi2, as listed in the Alexandria database.

SG: Amm2
Total magnetization (μB/f.u.): 0.00

abc: 6.0755 4.7896 8.2876
angles: 106.80 90.00 90.00
Positions (direct):
Cs1 0.0000 0.6865 0.3729
Cs2 0.0000 0.9276 0.8552
Cd1 0.5000 0.1157 0.2314
Bi1 0.5000 0.3051 0.6103
Bi2 0.5000 0.5072 0.0144

---

D ends up most stable, edging out the next structure by 0.051 eV/atom.

---

--- A ---
First-principles (PBE-GGA) data for an optimized crystal structure of CsCdHgBi, as listed in the Alexandria database.

SG: R3m
Total magnetization (μB/f.u.): 0.00

abc: 5.0828 5.0772 7.9948
angles: 71.53 90.00 120.04
Positions (direct):
Cs1 0.6142 0.2283 0.4336
Cd1 0.1339 0.2677 0.8742
Hg1 0.3872 0.7745 0.1135
Bi1 0.8191 0.6382 0.8178

---

--- B ---
First-principles (PBE-GGA) data for an optimized crystal structure of CsCdHgBi, as listed in the Alexandria database.

SG: F-43m
Total magnetization (μB/f.u.): 0.00

abc: 5.8078 5.8078 5.8078
angles: 60.00 60.00 60.00
Positions (direct):
Cs1 0.0000 0.0000 0.0000
Cd1 0.7500 0.7500 0.7500
Bi1 0.5000 0.5000 0.5000
Hg1 0.2500 0.2500 0.2500

---

A ends up most stable, edging out the next structure by 0.158 eV/atom.

---

--- A ---
First-principles (PBE-GGA) data for an optimized crystal structure of CsK2CdBi, as listed in the Alexandria database.

SG: P4/mmm
Total magnetization (μB/f.u.): 0.20

abc: 6.4576 6.4576 6.7998
angles: 90.00 90.00 90.00
Each line ends with the local moment (μB).
Positions (direct):
Cs1 0.0000 0.0000 0.5000  0.00
K1 0.0000 0.5000 0.0000  0.00
K2 0.5000 0.0000 0.0000  0.00
Bi1 0.5000 0.5000 0.5000  0.17
Cd1 0.0000 0.0000 0.0000  -0.01

---

--- B ---
First-principles (PBE-GGA) data for an optimized crystal structure of CsK2CdBi, as listed in the Alexandria database.

SG: P4/mmm
Total magnetization (μB/f.u.): 0.74

abc: 6.6860 6.6860 5.9636
angles: 90.00 90.00 90.00
Each line ends with the local moment (μB).
Positions (direct):
Cs1 0.5000 0.5000 0.5000  0.03
K1 0.0000 0.5000 0.0000  0.01
K2 0.5000 0.0000 0.0000  0.01
Bi1 0.0000 0.0000 0.5000  0.06
Cd1 0.0000 0.0000 0.0000  0.01

---

B ends up most stable, edging out the next structure by 0.251 eV/atom.

---

--- A ---
First-principles (PBE-GGA) data for an optimized crystal structure of Cs2KCdBi, as listed in the Alexandria database.

SG: P4/mmm
Total magnetization (μB/f.u.): 0.73

abc: 7.3783 7.3783 5.8247
angles: 90.00 90.00 90.00
Positions (direct):
Cs1 0.0000 0.5000 0.0000
Cs2 0.5000 0.0000 0.0000
K1 0.5000 0.5000 0.5000
Bi1 0.0000 0.0000 0.5000
Cd1 0.0000 0.0000 0.0000

---

--- B ---
First-principles (PBE-GGA) data for an optimized crystal structure of Cs2KCdBi, as listed in the Alexandria database.

SG: P4/mmm
Total magnetization (μB/f.u.): 0.00

abc: 7.6322 7.6322 6.8937
angles: 90.00 90.00 90.00
Positions (direct):
Cs1 0.0000 0.5000 0.0000
Cs2 0.5000 0.0000 0.0000
K1 0.0000 0.0000 0.5000
Bi1 0.0000 0.0000 0.0000
Cd1 0.5000 0.5000 0.5000

---

A ends up most stable, edging out the next structure by 0.007 eV/atom.

---

--- A ---
First-principles (PBE-GGA) data for an optimized crystal structure of CsNaCd2Bi, as listed in the Alexandria database.

SG: P4/mmm
Total magnetization (μB/f.u.): 0.00

abc: 6.7854 6.6287 6.7854
angles: 90.00 90.00 90.00
Positions (direct):
Cs1 0.0000 0.0000 0.0000
Na1 0.5000 0.5000 0.5000
Bi1 0.0000 0.5000 0.0000
Cd1 0.0000 0.0000 0.5000
Cd2 0.5000 0.0000 0.0000

---

--- B ---
First-principles (PBE-GGA) data for an optimized crystal structure of CsNaCd2Bi, as listed in the Alexandria database.

SG: P4/mmm
Total magnetization (μB/f.u.): 0.00

abc: 6.0938 6.0938 5.9778
angles: 90.00 90.00 90.00
Positions (direct):
Cs1 0.5000 0.5000 0.5000
Na1 0.0000 0.0000 0.5000
Bi1 0.0000 0.0000 0.0000
Cd1 0.0000 0.5000 0.0000
Cd2 0.5000 0.0000 0.0000

---

B ends up most stable, edging out the next structure by 0.621 eV/atom.

---

--- A ---
First-principles (PBE-GGA) data for an optimized crystal structure of Cs2RbCdBi, as listed in the Alexandria database.

SG: P4/mmm
Total magnetization (μB/f.u.): 0.73

abc: 7.4030 7.4030 5.8581
angles: 90.00 90.00 90.00
Positions (direct):
Cs1 0.0000 0.5000 0.0000
Cs2 0.5000 0.0000 0.0000
Bi1 0.0000 0.0000 0.5000
Rb1 0.5000 0.5000 0.5000
Cd1 0.0000 0.0000 0.0000

---

--- B ---
First-principles (PBE-GGA) data for an optimized crystal structure of Cs2RbCdBi, as listed in the Alexandria database.

SG: P4/mmm
Total magnetization (μB/f.u.): 0.00

abc: 7.6305 7.6305 7.2603
angles: 90.00 90.00 90.00
Positions (direct):
Cs1 0.0000 0.5000 0.0000
Cs2 0.5000 0.0000 0.0000
Bi1 0.0000 0.0000 0.0000
Rb1 0.0000 0.0000 0.5000
Cd1 0.5000 0.5000 0.5000

---

A ends up most stable, edging out the next structure by 0.032 eV/atom.

---

--- A ---
First-principles (PBE-GGA) data for an optimized crystal structure of CsTlCdBi, as listed in the Alexandria database.

SG: P4/nmm
Total magnetization (μB/f.u.): 0.00

abc: 4.6946 4.6946 15.4629
angles: 90.00 90.00 90.00
Positions (direct):
Cs1 0.7500 0.7500 0.2547
Cs2 0.2500 0.2500 0.7453
Tl1 0.2500 0.7500 0.5000
Tl2 0.7500 0.2500 0.5000
Cd1 0.7500 0.2500 0.0000
Cd2 0.2500 0.7500 0.0000
Bi1 0.7500 0.7500 0.8762
Bi2 0.2500 0.2500 0.1238

---

--- B ---
First-principles (PBE-GGA) data for an optimized crystal structure of CsTlCdBi, as listed in the Alexandria database.

SG: F-43m
Total magnetization (μB/f.u.): 0.00

abc: 5.8890 5.8890 5.8890
angles: 60.00 60.00 60.00
Positions (direct):
Cs1 0.0000 0.0000 0.0000
Tl1 0.2500 0.2500 0.2500
Bi1 0.5000 0.5000 0.5000
Cd1 0.7500 0.7500 0.7500

---

A ends up most stable, edging out the next structure by 0.103 eV/atom.